(1)
Material: VBC
Method: DFT, PBE-GGA
State: optimized geometry

Summary:
Formation energy from the elements: 0.223 eV per atom
ΔE to the lowest computed polymorph: 348 meV/atom
Final energy: -8.117 eV/atom

Cell lengths 2.831, 2.831, 12.424 Å; angles 90.00, 90.00, 90.00 degrees
Fractional coordinates of all 12 atoms:
1 B 0.750 0.750 0.000
2 B 0.250 0.250 0.000
3 B 0.250 0.250 0.500
4 B 0.750 0.750 0.500
5 C 0.750 0.250 0.671
6 C 0.250 0.750 0.329
7 C 0.250 0.750 0.829
8 C 0.750 0.250 0.171
9 V 0.750 0.250 0.354
10 V 0.250 0.750 0.646
11 V 0.750 0.250 0.854
12 V 0.250 0.750 0.146

(2)
Material: Ta3Ga2H
Method: DFT, PBE-GGA
State: optimized geometry

Summary:
Final energy: -7.388 eV/atom

Cell lengths 5.512, 5.935, 5.935 Å; angles 108.44, 90.00, 90.00 degrees
Fractional coordinates of all 12 atoms:
1 Ta 0.000 0.169 0.831
2 Ta 0.500 0.831 0.169
3 Ta 0.750 0.688 0.688
4 Ta 0.500 0.169 0.831
5 Ta 0.000 0.831 0.169
6 Ta 0.250 0.312 0.312
7 Ga 0.250 0.792 0.541
8 Ga 0.250 0.541 0.792
9 Ga 0.750 0.459 0.208
10 Ga 0.750 0.208 0.459
11 H 0.250 0.037 0.037
12 H 0.750 0.963 0.963